A plane-wave DFT calculation with GGA-PBE was carried out for a relaxed Pm2ScUP4 crystal.

Unit cell a=3.9807 b=6.8683 c=6.9300 alpha=109.20 beta=90.00 gamma=90.00
Site moments in Bohr magnetons follow the coordinates.
Element x y z (fractional)
Pm1 0.5000 0.0000 0.5000  0.03
Pm2 0.0000 0.5000 0.5000  0.04
Sc1 0.5000 0.5000 0.0000  0.02
U1 0.0000 0.0000 0.0000  1.75
P1 0.5000 0.2470 0.2310  -0.04
P2 0.5000 0.7530 0.7690  -0.04
P3 0.0000 0.2581 0.7725  -0.03
P4 0.0000 0.7419 0.2275  -0.03

ΔE_f in eV/atom: -1.38
Magnetization in μB per cell: 1.95
SG: P2/m, No. 10
Calculated total energy in eV/cell: -59.81


A plane-wave DFT calculation with GGA-PBE was carried out for a relaxed Tb2HoS crystal.

Unit cell a=3.6683 b=3.6683 c=10.2461 alpha=79.69 beta=79.69 gamma=60.00
Site moments in Bohr magnetons follow the coordinates.
Element x y z (fractional)
S1 0.5000 0.5000 0.5000  0.00
Tb1 0.1117 0.1117 0.6649  0.05
Tb2 0.8883 0.8883 0.3351  0.05
Ho1 0.0000 0.0000 0.0000  0.30

Magnetization in μB per cell: 0.64
SG: R-3m, No. 166
Calculated total energy in eV/cell: -20.84
E_form (uncorrected) in meV per atom: -718.1


A plane-wave DFT calculation with GGA-PBE was carried out for a relaxed SrScBe2 crystal.

Unit cell a=7.5781 b=7.5781 c=6.3262 alpha=53.21 beta=53.21 gamma=90.00
Site moments in Bohr magnetons follow the coordinates.
Element x y z (fractional)
Sc1 0.5000 0.5000 0.0000  0.18
Sc2 0.2500 0.7500 0.5000  0.17
Sr1 0.0000 0.0000 0.0000  0.04
Sr2 0.7500 0.2500 0.5000  0.04
Be1 0.5794 0.1250 0.2500  0.04
Be2 0.1706 0.6250 0.2500  0.04
Be3 0.3750 0.4206 0.7500  0.05
Be4 0.8750 0.8294 0.7500  0.05

ΔE to the lowest computed polymorph in kcal/mol of atoms: 14.67
ΔE_f in eV/atom: 0.84
Magnetization in μB per cell: 1.35
SG: I-42d, No. 122
Calculated total energy in eV/cell: -24.24